Record 1
VASP calculation (PBE-GGA) on a geometry-optimized Zn3SiNi9P2 structure.

* energy: -4.871 eV/atom

The structure in CIF format:
```
data_Zn3SiNi9P2
_chemical_formula_sum 'Zn3 Si1 Ni9 P2'
_space_group_name_H-M_alt 'P -3 m 1'
_space_group_IT_number 164
_space_group_name_Hall '-P 3 2"'
_cell_length_a 5.7033
_cell_length_b 5.7033
_cell_length_c 7.9223
_cell_angle_alpha 90.00
_cell_angle_beta 90.00
_cell_angle_gamma 120.00
loop_
_atom_site_label
_atom_site_type_symbol
_atom_site_fract_x
_atom_site_fract_y
_atom_site_fract_z
Zn1 Zn 0.0000 0.0000 0.0000
Zn2 Zn 0.3333 0.6667 0.7466
Si1 Si 0.0000 0.0000 0.5000
Ni1 Ni 0.0000 0.5000 0.0000
Ni2 Ni 0.1387 0.2773 0.2713
P1 P 0.3333 0.6667 0.1805
```

***

Record 2
VASP calculation (PBE-GGA) on a geometry-optimized MgCd2P structure.

* energy of formation: 0.0448 eV/atom

The structure in CIF format:
```
data_MgCd2P
_chemical_formula_sum 'Mg2 Cd4 P2'
_space_group_name_H-M_alt 'C 1 2/m 1'
_space_group_IT_number 12
_cell_length_a 5.515
_cell_length_b 11.454
_cell_length_c 3.114
_cell_angle_alpha 90.00
_cell_angle_beta 121.73
_cell_angle_gamma 90.00
loop_
_space_group_symop_operation_xyz
'x,y,z'
'-x,-y,-z'
'-x,y,-z'
'x,-y,z'
'x+1/2,y+1/2,z'
'-x+1/2,-y+1/2,-z'
'-x+1/2,y+1/2,-z'
'x+1/2,-y+1/2,z'
loop_
_atom_site_label
_atom_site_type_symbol
_atom_site_fract_x
_atom_site_fract_y
_atom_site_fract_z
Mg1 Mg 0.000 0.000 0.000
Cd1 Cd 0.250 0.250 0.000
P1 P 0.000 0.500 0.000
```

***

Record 3
VASP calculation (PBE-GGA) on a geometry-optimized LiMoOs3 structure.

* energy of formation: 1.9985 eV/atom
* energy above the lowest structure with this stoichiometry: 965 meV/atom

The structure in CIF format:
```
data_LiMoOs3
_chemical_formula_sum 'Li1 Mo1 Os3'
_space_group_name_H-M_alt 'P m -3 m'
_space_group_IT_number 221
_space_group_name_Hall '-P 4 2 3'
_cell_length_a 4.720
_cell_length_b 4.720
_cell_length_c 4.720
_cell_angle_alpha 90.00
_cell_angle_beta 90.00
_cell_angle_gamma 90.00
loop_
_atom_site_label
_atom_site_type_symbol
_atom_site_fract_x
_atom_site_fract_y
_atom_site_fract_z
Li1 Li 0.000 0.000 0.000
Mo1 Mo 0.500 0.500 0.500
Os1 Os 0.000 0.500 0.500
```

***

Record 4
VASP calculation (PBE-GGA) on a geometry-optimized Dy6HoTm5 structure.

* energy of formation: 0.0217 eV/atom

The structure in CIF format:
```
data_Dy6HoTm5
_chemical_formula_sum 'Dy12 Ho2 Tm10'
_space_group_name_H-M_alt 'C m m m'
_space_group_IT_number 65
_space_group_name_Hall '-C 2 2'
_cell_length_a 4.962
_cell_length_b 14.907
_cell_length_c 9.918
_cell_angle_alpha 90.00
_cell_angle_beta 90.00
_cell_angle_gamma 90.00
loop_
_atom_site_label
_atom_site_type_symbol
_atom_site_fract_x
_atom_site_fract_y
_atom_site_fract_z
Dy1 Dy 0.000 0.000 0.250
Dy2 Dy 0.000 0.333 0.250
Ho1 Ho 0.000 0.500 0.000
Tm1 Tm 0.000 0.167 0.000
Tm2 Tm 0.000 0.167 0.500
Tm3 Tm 0.000 0.500 0.500
```

***

Record 5
VASP calculation (PBE-GGA) on a geometry-optimized CaFe2Pb structure.

* energy of formation: 0.4684 eV/atom

The structure in CIF format:
```
data_CaFe2Pb
_chemical_formula_sum 'Ca1 Fe2 Pb1'
_space_group_name_H-M_alt 'P 4/m m m'
_space_group_IT_number 123
_space_group_name_Hall '-P 4 2'
_cell_length_a 3.611
_cell_length_b 3.611
_cell_length_c 6.466
_cell_angle_alpha 90.00
_cell_angle_beta 90.00
_cell_angle_gamma 90.00
loop_
_atom_site_label
_atom_site_type_symbol
_atom_site_fract_x
_atom_site_fract_y
_atom_site_fract_z
Ca1 Ca 0.000 0.000 0.000
Fe1 Fe 0.500 0.500 0.317
Pb1 Pb 0.000 0.000 0.500
```

***

Record 6
VASP calculation (PBE-GGA) on a geometry-optimized CdTeMo2 structure.

* energy above the lowest structure with this stoichiometry: 149 meV/atom

The structure in CIF format:
```
data_CdTeMo2
_chemical_formula_sum 'Cd2 Te2 Mo4'
_space_group_name_H-M_alt 'C m m 2'
_space_group_IT_number 35
_cell_length_a 3.308
_cell_length_b 4.977
_cell_length_c 10.258
_cell_angle_alpha 90.00
_cell_angle_beta 90.00
_cell_angle_gamma 90.00
loop_
_space_group_symop_operation_xyz
'x,y,z'
'-x,-y,z'
'-x,y,z'
'x,-y,z'
'x+1/2,y+1/2,z'
'-x+1/2,-y+1/2,z'
'-x+1/2,y+1/2,z'
'x+1/2,-y+1/2,z'
loop_
_atom_site_label
_atom_site_type_symbol
_atom_site_fract_x
_atom_site_fract_y
_atom_site_fract_z
Cd1 Cd 0.000 0.000 0.000
Te1 Te 0.000 0.500 0.338
Mo1 Mo 0.000 0.000 0.574
Mo2 Mo 0.000 0.500 0.760
```

***

Record 7
VASP calculation (PBE-GGA) on a geometry-optimized ZnAsRhBr2 structure.

* energy above the lowest structure with this stoichiometry: 0 meV/atom

The structure in CIF format:
```
data_ZnAsRhBr2
_chemical_formula_sum 'Zn1 As1 Rh1 Br2'
_space_group_name_H-M_alt 'P 4/m m m'
_space_group_IT_number 123
_space_group_name_Hall '-P 4 2'
_cell_length_a 5.273
_cell_length_b 5.273
_cell_length_c 4.660
_cell_angle_alpha 90.00
_cell_angle_beta 90.00
_cell_angle_gamma 90.00
loop_
_atom_site_label
_atom_site_type_symbol
_atom_site_fract_x
_atom_site_fract_y
_atom_site_fract_z
Zn1 Zn 0.000 0.000 0.000
As1 As 0.500 0.500 0.000
Rh1 Rh 0.500 0.500 0.500
Br1 Br 0.000 0.500 0.500
```

***

Record 8
VASP calculation (PBE-GGA) on a geometry-optimized CePm2PaRu2 structure.

* energy of formation: -0.2558 eV/atom

The structure in CIF format:
```
data_CePm2PaRu2
_chemical_formula_sum 'Ce4 Pm8 Pa4 Ru8'
_space_group_name_H-M_alt 'I b a m'
_space_group_IT_number 72
_space_group_name_Hall '-I 2 2c'
_cell_length_a 7.086
_cell_length_b 12.904
_cell_length_c 7.006
_cell_angle_alpha 90.00
_cell_angle_beta 90.00
_cell_angle_gamma 90.00
loop_
_atom_site_label
_atom_site_type_symbol
_atom_site_fract_x
_atom_site_fract_y
_atom_site_fract_z
Ce1 Ce 0.000 0.000 0.250
Pm1 Pm 0.232 0.307 0.000
Pa1 Pa 0.000 0.500 0.250
Ru1 Ru 0.232 0.419 0.500
```

***

no.,mass density (Mg/m³)
1,6.06
2,5.56
3,10.64
4,8.98
5,7.07
6,8.49
7,5.17
8,8.95